18
Lattice="-0.414 -7.870 -1.436 6.668 -0.921 3.126 -5.475 3.645 3.943" Properties=species:S:1:pos:R:3 comment="KPaTcO6, relaxed, DFT PBE-GGA" sg=Imma e_form_raw_ev_per_fu=-20.402 e_tot_ev_per_atom=-7.901 m_tot_mub_per_atom=0.000 pbc="T T T"
K 0.013 -4.628 3.015
K 0.766 -0.518 2.618
Pa -2.944 -2.113 1.253
Pa -2.738 1.823 1.971
Tc 3.127 -4.395 0.845
Tc -0.207 -3.935 -0.718
O -0.526 -0.931 5.253
O -3.394 -4.191 1.601
O -1.085 -5.427 0.130
O 2.832 -3.279 2.388
O -0.945 -2.757 0.617
O 2.692 -5.948 1.901
O 1.305 -4.215 0.379
O 4.173 -0.955 4.032
O 1.864 0.281 5.503
O -2.054 -1.867 3.244
O 1.724 -2.389 5.015
O -1.913 0.803 3.732